Entry 1:
Entry from Alexandria: a relaxed LaFe4Rh crystal (PBE).

It has space group F-43m (No. 216), with a = 7.174 Å, b = 7.174 Å, c = 7.174 Å, α = 90.00°, β = 90.00° and γ = 90.00°. The distinct sites, in fractional coordinates, are La at (0.000, 0.000, 0.000), Fe at (0.124, 0.124, 0.376) and Rh at (0.250, 0.250, 0.750).

Entry 2:
Entry from Alexandria: a relaxed LaFe2Rh crystal (PBE).

It has space group P2/m (No. 10), with a = 3.077 Å, b = 4.507 Å, c = 5.528 Å, α = 90.00°, β = 105.81° and γ = 90.00°. The distinct sites, in fractional coordinates, are La at (0.000, 0.000, 0.000), Fe at (0.318, 0.500, 0.674) and Rh at (0.500, 0.000, 0.500).

Entry 3:
Entry from Alexandria: a relaxed LaFe2Rh2 crystal (PBE).

It has space group I4/mmm (No. 139), with a = 4.160 Å, b = 4.160 Å, c = 10.650 Å, α = 90.00°, β = 90.00° and γ = 90.00°. The distinct sites, in fractional coordinates, are La at (0.000, 0.000, 0.000), Fe at (0.000, 0.500, 0.250) and Rh at (0.000, 0.000, 0.377).

Entry 4:
Entry from Alexandria: a relaxed LaFeRh crystal (PBE).

It has space group I4mm (No. 107), with a = 3.283 Å, b = 3.283 Å, c = 10.958 Å, α = 90.00°, β = 90.00° and γ = 90.00°. The distinct sites, in fractional coordinates, are La at (0.000, 0.000, 0.000), Fe at (0.000, 0.000, 0.705) and Rh at (0.000, 0.000, 0.303).

Number 1: total magnetization 43.729 μB per cell, E_form 0.09 eV per atom. Number 2: total magnetization 5.744 μB per cell, E_form 0.17 eV per atom. Number 3: total magnetization 13.547 μB per cell, E_form -0.19 eV per atom. Number 4: total magnetization 6.269 μB per cell, E_form -0.02 eV per atom.